{"formula": "Rb2SbI6Cl", "functional": "GGA-PBE", "state": "relaxed", "lattice_angstrom": [[-4.224, 4.224, 6.404], [4.224, -4.224, 6.404], [4.224, 4.224, -6.404]], "species": ["Rb", "Rb", "Sb", "I", "I", "I", "I", "I", "I", "Cl"], "frac_coords": [[0.250, 0.750, 0.500], [0.750, 0.250, 0.500], [0.000, 0.000, 0.000], [0.230, 0.230, 0.000], [0.243, 0.243, 0.486], [0.243, 0.757, 0.000], [0.757, 0.243, 0.000], [0.757, 0.757, 0.514], [0.770, 0.770, 0.000], [0.500, 0.500, 0.000]], "dft_energy_ev_per_atom": -2.419, "space_group": "I4/mmm", "m_tot_mub_per_cell": 0.0, "dos_at_fermi_per_ev_atom": 0.1203, "e_form_raw_ev_per_fu": -7.0, "vol_a3_per_cell": 457}


{"formula": "Cd2AgAu", "functional": "GGA-PBE", "state": "relaxed", "lattice_angstrom": [[3.081, 0.000, 0.000], [0.000, 3.081, 0.000], [0.000, 0.000, 8.169]], "species": ["Cd", "Cd", "Ag", "Au"], "frac_coords": [[0.000, 0.000, 0.249], [0.000, 0.000, 0.751], [0.500, 0.500, 0.500], [0.500, 0.500, 0.000]], "dft_energy_ev_per_atom": -2.102, "formation_energy_ev_per_atom": -0.11, "space_group": "P4/mmm", "m_tot_mub_per_cell": 0.0, "dos_at_fermi_per_ev_atom": 0.1728, "vol_a3_per_cell": 78, "polymorph_energy_ev_per_fu": 0.07}